The following is a DFT calculation (GGA-PBE) of a relaxed structure of Nb14ReW.

Computed properties:
Final energy (eV/atom): -10.46
ΔH_f (0 K) (eV per atom): -0.059
DOS(E_F) (states/eV per atom): 1.5558
Volume (Å³ per atom): 17.827

a b c (Å): 6.567 9.325 9.316
angles (deg): 90.00 90.00 90.00
Space group Cmmm (No. 65)
One atom of each set of equivalent atoms:
Nb 0.000 0.000 0.000 [2 per cell]
Nb 0.000 0.250 0.250 [8 per cell]
Nb 0.000 0.500 0.000 [2 per cell]
Nb 0.249 0.000 0.260 [8 per cell]
Nb 0.250 0.250 0.000 [4 per cell]
Nb 0.250 0.250 0.500 [4 per cell]
Re 0.000 0.000 0.500 [2 per cell]
W 0.000 0.500 0.500 [2 per cell]